Arrangement A

ZnGeSN2: relaxed, GGA-PBE.

Structure (POSCAR):
```
ZnGeSN2
1.0
3.901 0.000 0.000
0.000 3.901 0.000
0.000 0.000 5.294
S Ge Zn N
1 1 1 2
Direct
0.000 0.000 0.500
0.500 0.500 0.500
0.000 0.000 0.000
0.000 0.500 0.000
0.500 0.000 0.000
```

## Properties
* space group: P4/mmm (123)
* M_tot: 3.4 μB/f.u.

=====

Arrangement B

ZnGeSN2: relaxed, GGA-PBE.

Structure (POSCAR):
```
ZnGeSN2
1.0
-3.119 -1.156 1.411
0.721 -3.349 -1.149
2.817 -1.195 5.249
S Ge Zn N
1 1 1 2
Direct
0.000 0.000 0.500
0.000 0.000 0.000
0.500 0.500 0.500
0.000 0.500 0.000
0.500 0.000 0.000
```

## Properties
* space group: P4/mmm (123)
* M_tot: 0.3 μB/f.u.

=====

Which one sits at the bottom of the stability order? arrangement A does.

=====

Arrangement A

GeSb2N: relaxed, GGA-PBE.

Structure (POSCAR):
```
GeSb2N
1.0
5.460 0.000 0.000
0.000 5.460 0.000
2.730 2.730 6.455
Sb Ge N
4 2 2
Direct
0.540 0.125 0.250
0.210 0.625 0.250
0.375 0.460 0.750
0.875 0.790 0.750
0.000 0.000 0.000
0.750 0.250 0.500
0.500 0.500 0.000
0.250 0.750 0.500
```

## Properties
* space group: I-42d (122)
* M_tot: 0.0 μB/f.u.

=====

Arrangement B

GeSb2N: relaxed, GGA-PBE.

Structure (POSCAR):
```
GeSb2N
1.0
0.000 3.374 3.374
3.374 0.000 3.374
3.374 3.374 0.000
Sb Ge N
2 1 1
Direct
0.250 0.250 0.250
0.750 0.750 0.750
0.500 0.500 0.500
0.000 0.000 0.000
```

## Properties
* space group: Fm-3m (225)
* M_tot: 0.8 μB/f.u.

=====

Which one sits at the bottom of the stability order? arrangement B does.

=====

Arrangement A

Ge2SbN: relaxed, GGA-PBE.

Structure (POSCAR):
```
Ge2SbN
1.0
4.423 0.000 0.000
2.212 3.831 0.000
2.212 1.277 6.226
Sb Ge N
1 2 1
Direct
0.500 0.500 0.500
0.093 0.093 0.720
0.907 0.907 0.280
0.000 0.000 0.000
```

## Properties
* space group: R-3m (166)
* M_tot: 0.0 μB/f.u.

=====

Arrangement B

Ge2SbN: relaxed, GGA-PBE.

Structure (POSCAR):
```
Ge2SbN
1.0
0.000 3.307 3.307
3.307 0.000 3.307
3.307 3.307 0.000
Sb Ge N
1 2 1
Direct
0.500 0.500 0.500
0.250 0.250 0.250
0.750 0.750 0.750
0.000 0.000 0.000
```

## Properties
* space group: Fm-3m (225)
* M_tot: 0.8 μB/f.u.

=====

Which one sits at the bottom of the stability order? arrangement B does.

=====

Arrangement A

GeSb3N: relaxed, GGA-PBE.

Structure (POSCAR):
```
GeSb3N
1.0
-2.550 3.503 2.020
-3.895 -2.770 -0.115
1.086 -1.707 4.332
Sb Ge N
3 1 1
Direct
0.000 0.500 0.000
0.000 0.000 0.500
0.500 0.000 0.000
0.500 0.500 0.500
0.000 0.000 0.000
```

## Properties
* space group: Pm-3m (221)
* M_tot: 0.0 μB/f.u.

=====

Arrangement B

GeSb3N: relaxed, GGA-PBE.

Structure (POSCAR):
```
GeSb3N
1.0
5.393 0.000 0.000
0.000 5.393 0.000
0.000 0.000 5.393
Sb Ge N
3 1 1
Direct
0.000 0.500 0.000
0.000 0.000 0.500
0.500 0.000 0.000
0.000 0.000 0.000
0.500 0.500 0.500
```

## Properties
* space group: Pm-3m (221)
* M_tot: 2.5 μB/f.u.

=====

Which one sits at the bottom of the stability order? arrangement B does.

=====

Arrangement A

GeSbSeN2: relaxed, GGA-PBE.

Structure (POSCAR):
```
GeSbSeN2
1.0
-3.868 0.034 0.777
-0.072 -3.941 -0.186
1.008 -0.256 5.031
Sb Ge Se N
1 1 1 2
Direct
0.500 0.500 0.500
0.000 0.000 0.000
0.000 0.000 0.500
0.000 0.500 0.000
0.500 0.000 0.000
```

## Properties
* space group: P4/mmm (123)
* M_tot: 0.7 μB/f.u.

=====

Arrangement B

GeSbSeN2: relaxed, GGA-PBE.

Structure (POSCAR):
```
GeSbSeN2
1.0
4.040 0.000 0.000
0.000 4.040 0.000
0.000 0.000 5.558
Sb Ge Se N
1 1 1 2
Direct
0.000 0.000 0.000
0.500 0.500 0.500
0.000 0.000 0.500
0.000 0.500 0.000
0.500 0.000 0.000
```

## Properties
* space group: P4/mmm (123)
* M_tot: 0.5 μB/f.u.

=====

Which one sits at the bottom of the stability order? arrangement B does.

=====

Arrangement A

GeSbTe2N: relaxed, GGA-PBE.

Structure (POSCAR):
```
GeSbTe2N
1.0
-1.692 5.459 -1.263
-5.238 -2.009 -1.670
-1.342 0.436 3.682
Sb Ge Te N
1 1 2 1
Direct
0.000 0.000 0.000
0.500 0.500 0.500
0.000 0.500 0.000
0.500 0.000 0.000
0.000 0.000 0.500
```

## Properties
* space group: P4/mmm (123)
* M_tot: 0.0 μB/f.u.

=====

Arrangement B

GeSbTe2N: relaxed, GGA-PBE.

Structure (POSCAR):
```
GeSbTe2N
1.0
-5.244 -0.781 2.050
2.192 -1.656 4.976
-0.056 3.449 1.172
Sb Ge Te N
1 1 2 1
Direct
0.500 0.500 0.500
0.000 0.000 0.000
0.000 0.500 0.000
0.500 0.000 0.000
0.000 0.000 0.500
```

## Properties
* space group: P4/mmm (123)
* M_tot: 0.0 μB/f.u.

=====

Which one sits at the bottom of the stability order? arrangement A does.